A plane-wave DFT calculation with PBE+U was carried out for Co2TeF2 after structural relaxation.

- calculated total energy (eV/atom) = -4.26
- space-group type = No. 127
- crystal system = tetragonal
- DOS at the Fermi energy (states/eV/atom) = 0.808

a = 7.5158 Å, b = 7.5158 Å, c = 3.5682 Å
α = 90.00°, β = 90.00°, γ = 90.00°
Fractional coordinates of all 10 atoms:
Te 0.0000 0.0000 0.0000
Te 0.5000 0.5000 0.0000
Co 0.1991 0.6991 0.0000
Co 0.6991 0.8009 0.0000
Co 0.8009 0.3009 0.0000
Co 0.3009 0.1991 0.0000
F 0.1270 0.6270 0.5000
F 0.6270 0.8730 0.5000
F 0.8730 0.3730 0.5000
F 0.3730 0.1270 0.5000